1.
This record from Alexandria via LeMat-Bulk describes a geometry-optimized LaPr12Sm3 structure. The functional is PBE.

a = 5.236 Å, b = 5.236 Å, c = 20.921 Å
α = 90.00°, β = 90.00°, γ = 90.00°
Atoms (fractional coordinates):
Pr1 0.500 0.000 0.873
Pr2 0.500 0.000 0.375
Sm1 0.000 0.000 0.500
Pr3 0.000 0.500 0.625
Pr4 0.500 0.500 0.748
Pr5 0.500 0.000 0.625
Pr6 0.500 0.500 0.252
Pr7 0.500 0.500 0.000
La1 0.000 0.000 0.000
Pr8 0.000 0.500 0.873
Sm2 0.000 0.000 0.749
Pr9 0.000 0.500 0.375
Sm3 0.000 0.000 0.251
Pr10 0.000 0.500 0.127
Pr11 0.500 0.000 0.127
Pr12 0.500 0.500 0.500

Formation energy: 0.0108 eV/atom
Electronic total energy: -4.767 eV/atom
Crystal system: tetragonal
Magnetic moment: 0.0 μB per formula unit
Volume: 35.852 Å³/atom

=====

2.
This record from Alexandria via LeMat-Bulk describes a geometry-optimized La4PrSm3 structure. The functional is PBE.

a = 3.537 Å, b = 6.347 Å, c = 12.948 Å
α = 93.52°, β = 97.85°, γ = 90.00°
Atoms (fractional coordinates):
La1 0.106 0.241 0.213
Sm1 0.857 0.251 0.714
La2 0.894 0.759 0.787
Pr1 0.500 0.000 0.000
La3 0.721 0.243 0.441
La4 0.279 0.757 0.559
Sm2 0.000 0.500 0.000
Sm3 0.143 0.749 0.286

Formation energy: 0.2047 eV/atom
Electronic total energy: -4.626 eV/atom
Crystal system: monoclinic
Magnetic moment: 0.0 μB per formula unit
Volume: 35.925 Å³/atom
Energy above the lowest structure with this stoichiometry: 0 meV per atom

=====

3.
This record from Alexandria via LeMat-Bulk describes a geometry-optimized La6PrSm4 structure. The functional is PBE.

a = 6.040 Å, b = 5.798 Å, c = 26.390 Å
α = 90.00°, β = 90.00°, γ = 121.39°
Atoms (fractional coordinates):
La1 0.115 0.230 0.318
La2 0.885 0.770 0.818
La3 0.500 0.000 0.500
Sm1 0.148 0.296 0.456
La4 0.440 0.880 0.250
Sm2 0.553 0.105 0.876
La5 0.795 0.589 0.399
Sm3 0.852 0.704 0.544
Sm4 0.553 0.105 0.624
La6 0.500 0.000 0.000
Pr1 0.217 0.435 0.750
Sm5 0.852 0.704 0.956
La7 0.560 0.120 0.750
Sm6 0.447 0.895 0.124
Pr2 0.783 0.565 0.250
La8 0.115 0.230 0.182
La9 0.205 0.411 0.601
La10 0.205 0.411 0.899
La11 0.885 0.770 0.682
Sm7 0.447 0.895 0.376
La12 0.795 0.589 0.101
Sm8 0.148 0.296 0.044

Formation energy: 0.0940 eV/atom
Electronic total energy: -4.744 eV/atom
Crystal system: orthorhombic
Magnetic moment: 0.0 μB per formula unit
Volume: 35.855 Å³/atom
Energy above the lowest structure with this stoichiometry: 0 meV per atom

=====

4.
This record from Alexandria via LeMat-Bulk describes a geometry-optimized LaPr4Sm5 structure. The functional is PBE.

a = 3.694 Å, b = 3.694 Å, c = 25.842 Å
α = 90.00°, β = 90.00°, γ = 90.00°
Atoms (fractional coordinates):
Pr1 0.000 0.000 0.200
Pr2 0.000 0.000 0.800
Sm1 0.500 0.500 0.899
Sm2 0.500 0.500 0.700
Pr3 0.000 0.000 0.600
Sm3 0.500 0.500 0.101
Sm4 0.500 0.500 0.300
Sm5 0.500 0.500 0.500
Pr4 0.000 0.000 0.400
La1 0.000 0.000 0.000

Formation energy: 0.0172 eV/atom
Electronic total energy: -4.747 eV/atom
Crystal system: tetragonal
Magnetic moment: 0.0 μB per formula unit
Volume: 35.272 Å³/atom
Energy above the lowest structure with this stoichiometry: 0 meV per atom

=====

5.
This record from Alexandria via LeMat-Bulk describes a geometry-optimized LaPrSm4 structure. The functional is PBE.

a = 7.108 Å, b = 7.108 Å, c = 9.759 Å
α = 90.00°, β = 90.00°, γ = 121.24°
Atoms (fractional coordinates):
Pr1 0.180 0.820 0.750
La1 0.000 0.000 0.500
Sm1 0.656 0.344 0.925
La2 0.000 0.000 0.000
Sm2 0.630 0.834 0.750
Sm3 0.834 0.630 0.250
Sm4 0.656 0.344 0.575
Sm5 0.344 0.656 0.075
Pr2 0.820 0.180 0.250
Sm6 0.166 0.370 0.750
Sm7 0.344 0.656 0.425
Sm8 0.370 0.166 0.250

Formation energy: 0.2197 eV/atom
Electronic total energy: -4.544 eV/atom
Crystal system: orthorhombic
Magnetic moment: 0.0 μB per formula unit
Volume: 35.128 Å³/atom
Energy above the lowest structure with this stoichiometry: 202 meV per atom

=====

6.
This record from Alexandria via LeMat-Bulk describes a geometry-optimized La12PrSm7 structure. The functional is PBE.

a = 8.945 Å, b = 8.945 Å, c = 8.945 Å
α = 89.88°, β = 89.88°, γ = 89.88°
Atoms (fractional coordinates):
La1 0.729 0.284 0.138
La2 0.615 0.144 0.486
Sm1 0.147 0.379 0.061
La3 0.385 0.856 0.514
La4 0.486 0.615 0.144
La5 0.138 0.729 0.284
Sm2 0.853 0.621 0.939
Sm3 0.379 0.061 0.147
Pr1 0.000 0.000 0.000
La6 0.144 0.486 0.615
La7 0.514 0.385 0.856
Sm4 0.939 0.853 0.621
Sm5 0.500 0.500 0.500
La8 0.862 0.271 0.716
Sm6 0.061 0.147 0.379
La9 0.716 0.862 0.271
La10 0.856 0.514 0.385
La11 0.284 0.138 0.729
Sm7 0.621 0.939 0.853
La12 0.271 0.716 0.862

Formation energy: 0.1810 eV/atom
Electronic total energy: -4.666 eV/atom
Crystal system: trigonal
Magnetic moment: 0.0 μB per formula unit
Volume: 35.791 Å³/atom
Energy above the lowest structure with this stoichiometry: 0 meV per atom

=====

7.
This record from Alexandria via LeMat-Bulk describes a geometry-optimized La5PrSm6 structure. The functional is PBE.

a = 6.100 Å, b = 7.575 Å, c = 10.386 Å
α = 111.40°, β = 107.09°, γ = 89.97°
Atoms (fractional coordinates):
La1 0.333 0.333 0.666
Sm1 0.500 0.753 0.000
Sm2 0.166 0.414 0.331
Sm3 0.834 0.586 0.669
La2 0.000 0.500 0.000
Pr1 0.000 0.000 0.000
La3 0.332 0.832 0.665
Sm4 0.166 0.917 0.331
La4 0.667 0.667 0.334
La5 0.668 0.168 0.335
Sm5 0.834 0.083 0.669
Sm6 0.500 0.247 0.000

Formation energy: 0.0945 eV/atom
Electronic total energy: -4.716 eV/atom
Crystal system: orthorhombic
Magnetic moment: 0.0 μB per formula unit
Volume: 35.337 Å³/atom
Energy above the lowest structure with this stoichiometry: 84 meV per atom

=====

8.
This record from Alexandria via LeMat-Bulk describes a geometry-optimized La8Pr2Sm structure. The functional is PBE.

a = 5.264 Å, b = 8.309 Å, c = 9.827 Å
α = 104.68°, β = 105.54°, γ = 90.00°
Atoms (fractional coordinates):
La1 0.410 0.547 0.820
La2 0.590 0.453 0.180
Pr1 0.226 0.636 0.453
La3 0.864 0.819 0.727
Sm1 0.500 0.000 0.000
La4 0.046 0.727 0.092
Pr2 0.774 0.364 0.547
La5 0.681 0.912 0.363
La6 0.136 0.181 0.273
La7 0.319 0.088 0.637
La8 0.954 0.273 0.908

Formation energy: 0.0103 eV/atom
Electronic total energy: -4.871 eV/atom
Crystal system: monoclinic
Magnetic moment: 0.0 μB per formula unit
Volume: 36.325 Å³/atom
Energy above the lowest structure with this stoichiometry: 0 meV per atom

=====

9.
This record from Alexandria via LeMat-Bulk describes a geometry-optimized La8Pr5Sm structure. The functional is PBE.

a = 8.769 Å, b = 8.769 Å, c = 8.769 Å
α = 110.96°, β = 106.54°, γ = 110.96°
Atoms (fractional coordinates):
La1 0.668 0.398 0.926
Pr1 0.280 0.103 0.970
Pr2 0.823 0.690 0.720
La2 0.932 0.112 0.667
La3 0.333 0.265 0.445
Pr3 0.500 0.000 0.500
La4 0.528 0.602 0.270
Sm1 0.250 0.500 0.750
La5 0.074 0.742 0.472
La6 0.730 0.258 0.332
La7 0.555 0.888 0.820
Pr4 0.030 0.310 0.133
La8 0.180 0.735 0.068
Pr5 0.867 0.897 0.177

Formation energy: 0.2036 eV/atom
Electronic total energy: -4.656 eV/atom
Crystal system: tetragonal
Magnetic moment: 0.0 μB per formula unit
Volume: 37.010 Å³/atom

=====

10.
This record from Alexandria via LeMat-Bulk describes a geometry-optimized La2Pr3Sm structure. The functional is PBE.

a = 3.581 Å, b = 17.114 Å, c = 7.146 Å
α = 90.00°, β = 90.00°, γ = 90.00°
Atoms (fractional coordinates):
Pr1 0.000 0.000 0.000
La1 0.500 0.159 0.749
Sm1 0.500 0.500 0.000
Pr2 0.000 0.655 0.249
Pr3 0.500 0.155 0.251
La2 0.000 0.341 0.249
Pr4 0.500 0.500 0.500
Sm2 0.000 0.000 0.500
La3 0.500 0.841 0.251
Pr5 0.500 0.845 0.749
La4 0.000 0.659 0.751
Pr6 0.000 0.345 0.751

Formation energy: 0.1193 eV/atom
Electronic total energy: -4.699 eV/atom
Crystal system: orthorhombic
Magnetic moment: 0.0 μB per formula unit
Volume: 36.499 Å³/atom
Energy above the lowest structure with this stoichiometry: 2 meV per atom

=====

11.
This record from Alexandria via LeMat-Bulk describes a geometry-optimized LaPrSm4 structure. The functional is PBE.

a = 6.731 Å, b = 6.731 Å, c = 6.731 Å
α = 60.00°, β = 60.00°, γ = 60.00°
Atoms (fractional coordinates):
La1 0.250 0.250 0.250
Pr1 0.000 0.000 0.000
Sm1 0.625 0.124 0.625
Sm2 0.625 0.625 0.124
Sm3 0.625 0.625 0.625
Sm4 0.124 0.625 0.625

Formation energy: 0.2502 eV/atom
Electronic total energy: -4.514 eV/atom
Crystal system: cubic
Magnetic moment: 0.0 μB per formula unit
Volume: 35.946 Å³/atom
Energy above the lowest structure with this stoichiometry: 233 meV per atom

=====

12.
This record from Alexandria via LeMat-Bulk describes a geometry-optimized LaPr4Sm3 structure. The functional is PBE.

a = 6.435 Å, b = 7.444 Å, c = 11.960 Å
α = 90.00°, β = 90.00°, γ = 90.00°
Atoms (fractional coordinates):
Pr1 0.147 0.126 0.748
Sm1 0.480 0.624 0.000
Pr2 0.147 0.126 0.252
Pr3 0.479 0.126 0.000
Sm2 0.149 0.623 0.750
Sm3 0.980 0.376 0.500
La1 0.480 0.623 0.500
Pr4 0.647 0.874 0.752
Pr5 0.483 0.127 0.500
La2 0.980 0.377 0.000
Pr6 0.979 0.874 0.500
Sm4 0.649 0.377 0.750
Sm5 0.149 0.623 0.250
Sm6 0.649 0.377 0.250
Pr7 0.983 0.873 0.000
Pr8 0.647 0.874 0.248

Formation energy: 0.0348 eV/atom
Electronic total energy: -4.741 eV/atom
Crystal system: orthorhombic
Magnetic moment: 0.0 μB per formula unit
Volume: 35.809 Å³/atom
Energy above the lowest structure with this stoichiometry: 22 meV per atom

=====

Q: What is the formation energy in the tenth record?
A: 0.1193 eV/atom